(1)
MgZrAu3: relaxed, PBE-GGA.

## Properties
Symmetry ... No. 221
Energy relative to the lowest polymorph listed for this composition ... 336 kJ/mol of formula units
N(E_F) ... 7.3 states/eV/cell
Electronic total energy ... -18.47 eV/cell
Energy of formation from the pure elements ... 29 kJ/mol of atoms
Crystal system ... cubic

Cell: 4.7733 4.7733 4.7733 Å, 90.00 90.00 90.00°
Last column: nearest neighbours and their distance in Å.
Fractional coordinates of all 5 atoms:
Mg 0.0000 0.0000 0.0000  6 Au 2.39
Au 0.0000 0.5000 0.0000  2 Mg 2.39
Au 0.0000 0.0000 0.5000  2 Mg 2.39
Au 0.5000 0.0000 0.0000  2 Mg 2.39
Zr 0.5000 0.5000 0.5000  12 Au 3.38


(2)
MgZr4Au: relaxed, PBE-GGA.

## Properties
Symmetry ... No. 216
N(E_F) ... 5.2 states/eV/cell
Electronic total energy ... -37.83 eV/cell
Energy of formation from the pure elements ... 20 kJ/mol of atoms
Crystal system ... cubic

Cell: 5.7453 5.7453 5.7453 Å, 60.00 60.00 60.00°
Last column: nearest neighbours and their distance in Å.
Fractional coordinates of all 6 atoms:
Mg 0.0000 0.0000 0.0000  12 Zr 3.37, 4 Au 3.52
Zr 0.8756 0.3748 0.3748  6 Zr 2.87-2.88
Zr 0.3748 0.3748 0.8756  6 Zr 2.87-2.88
Zr 0.3748 0.8756 0.3748  6 Zr 2.87-2.88
Zr 0.3748 0.3748 0.3748  6 Zr 2.87-2.88
Au 0.7500 0.7500 0.7500  12 Zr 3.37, 4 Mg 3.52


(3)
Mg2ZrAu: relaxed, PBE-GGA.

## Properties
Symmetry ... No. 119
Energy relative to the lowest polymorph listed for this composition ... 0 kJ/mol of formula units
N(E_F) ... 2.4 states/eV/cell
Electronic total energy ... -16.12 eV/cell
Energy of formation from the pure elements ... -27 kJ/mol of atoms
Crystal system ... tetragonal

Cell: 4.8175 4.8175 4.8175 Å, 119.93 119.93 90.12°
Last column: nearest neighbours and their distance in Å.
Fractional coordinates of all 4 atoms:
Au 0.7500 0.2500 0.5000  4 Zr 2.95, 4 Mg 2.95
Mg 0.0000 0.0000 0.0000  4 Au 2.95, 4 Mg 2.95
Mg 0.2500 0.7500 0.5000  4 Mg 2.95, 4 Zr 2.95
Zr 0.5000 0.5000 0.0000  4 Mg 2.95, 4 Au 2.95